Compound: UAgHg2Se6
Source: the Alexandria database
Functional: PBE
Structure: optimized geometry

Results
raw total energy	-3.88	eV/atom
size of the total moment	0.0	μB/f.u.
crystal system	triclinic
ΔE_f (raw)	-3.2	eV/f.u.

Lattice parameters (Å, degrees): 7.474 7.477 7.495 63.20 60.23 51.99
Sites, in units of the cell vectors:
1 U 0.364 0.325 0.996
2 Ag 0.823 0.801 0.538
3 Hg 0.390 0.698 0.492
4 Hg 0.941 0.910 0.012
5 Se 0.568 0.191 0.282
6 Se 0.283 0.967 0.154
7 Se 0.948 0.517 0.304
8 Se 0.427 0.709 0.821
9 Se 0.764 0.106 0.692
10 Se 0.155 0.439 0.725